#a
Here is a relaxed structure of Fe5Se from Alexandria. Energies are from PBE.

It has space group F-43m (No. 216), with a = 6.8005 Å, b = 6.8005 Å, c = 6.8005 Å, α = 90.00°, β = 90.00° and γ = 90.00°. The distinct sites, in fractional coordinates, are Fe at (0.0000, 0.0000, 0.0000), Fe at (0.1254, 0.1254, 0.6254) and Se at (0.2500, 0.2500, 0.2500).

---

#b
Here is a relaxed structure of Fe5Se from Alexandria. Energies are from PBE.

It has space group P4/mmm (No. 123), with a = 2.9561 Å, b = 2.9561 Å, c = 8.3836 Å, α = 90.00°, β = 90.00° and γ = 90.00°. The distinct sites, in fractional coordinates, are Fe at (0.0000, 0.0000, 0.0000), Fe at (0.0000, 0.0000, 0.3281), Fe at (0.5000, 0.5000, 0.1635) and Se at (0.5000, 0.5000, 0.5000).

---

#b is favored, and the nearest alternative lies 221 meV/atom above it.

---

#a
Here is a relaxed structure of Fe3Se5 from Alexandria. Energies are from PBE.

It has space group P6_3/mcm (No. 193), with a = 7.6078 Å, b = 7.6078 Å, c = 5.1378 Å, α = 90.00°, β = 90.00° and γ = 120.00°. The distinct sites, in fractional coordinates, are Fe at (0.0000, 0.3960, 0.2500), Se at (0.0000, 0.2744, 0.7500) and Se at (0.3333, 0.6667, 0.0000).

---

#b
Here is a relaxed structure of Fe3Se5 from Alexandria. Energies are from PBE.

It has space group Cmmm (No. 65), with a = 7.4212 Å, b = 11.9175 Å, c = 3.4307 Å, α = 90.00°, β = 90.00° and γ = 90.00°. The distinct sites, in fractional coordinates, are Fe at (0.0000, 0.0000, 0.0000), Fe at (0.0000, 0.1686, 0.5000), Se at (0.0000, 0.5000, 0.0000), Se at (0.2215, 0.0000, 0.5000) and Se at (0.2500, 0.2500, 0.0000).

---

#b is favored, and the nearest alternative lies 98 meV/atom above it.

---

#a
Here is a relaxed structure of FeSiSe3 from Alexandria. Energies are from PBE.

It has space group Pm-3m (No. 221), with a = 4.7377 Å, b = 4.7377 Å, c = 4.7377 Å, α = 90.00°, β = 90.00° and γ = 90.00°. The distinct sites, in fractional coordinates, are Fe at (0.0000, 0.0000, 0.0000), Si at (0.5000, 0.5000, 0.5000) and Se at (0.0000, 0.0000, 0.5000).

---

#b
Here is a relaxed structure of FeSiSe3 from Alexandria. Energies are from PBE.

It has space group Pm-3m (No. 221), with a = 4.8020 Å, b = 4.8020 Å, c = 4.8020 Å, α = 90.00°, β = 90.00° and γ = 90.00°. The distinct sites, in fractional coordinates, are Fe at (0.0000, 0.0000, 0.0000), Si at (0.5000, 0.5000, 0.5000) and Se at (0.0000, 0.5000, 0.5000).

---

#a is favored, and the nearest alternative lies 144 meV/atom above it.

---

#a
Here is a relaxed structure of Fe3SiSe from Alexandria. Energies are from PBE.

It has space group Pm-3m (No. 221), with a = 4.2972 Å, b = 4.2972 Å, c = 4.2972 Å, α = 90.00°, β = 90.00° and γ = 90.00°. The distinct sites, in fractional coordinates, are Fe at (0.0000, 0.0000, 0.5000), Si at (0.0000, 0.0000, 0.0000) and Se at (0.5000, 0.5000, 0.5000).

---

#b
Here is a relaxed structure of Fe3SiSe from Alexandria. Energies are from PBE.

It has space group Pm-3m (No. 221), with a = 4.3643 Å, b = 4.3643 Å, c = 4.3643 Å, α = 90.00°, β = 90.00° and γ = 90.00°. The distinct sites, in fractional coordinates, are Fe at (0.0000, 0.0000, 0.5000), Si at (0.5000, 0.5000, 0.5000) and Se at (0.0000, 0.0000, 0.0000).

---

#a is favored, and the nearest alternative lies 142 meV/atom above it.

---

#a
Here is a relaxed structure of Fe2SnSe from Alexandria. Energies are from PBE.

It has space group I-42d (No. 122), with a = 7.1110 Å, b = 7.1110 Å, c = 5.8529 Å, α = 90.00°, β = 90.00° and γ = 90.00°. The distinct sites, in fractional coordinates, are Fe at (0.2059, 0.7500, 0.1250), Sn at (0.0000, 0.0000, 0.5000) and Se at (0.0000, 0.0000, 0.0000).

---

#b
Here is a relaxed structure of Fe2SnSe from Alexandria. Energies are from PBE.

It has space group Fm-3m (No. 225), with a = 6.2573 Å, b = 6.2573 Å, c = 6.2573 Å, α = 90.00°, β = 90.00° and γ = 90.00°. The distinct sites, in fractional coordinates, are Fe at (0.2500, 0.2500, 0.2500), Sn at (0.0000, 0.0000, 0.0000) and Se at (0.0000, 0.0000, 0.5000).

---

#a is favored, and the nearest alternative lies 110 meV/atom above it.

---

#a
Here is a relaxed structure of Fe3SnSe from Alexandria. Energies are from PBE.

It has space group Pm-3m (No. 221), with a = 4.8660 Å, b = 4.8660 Å, c = 4.8660 Å, α = 90.00°, β = 90.00° and γ = 90.00°. The distinct sites, in fractional coordinates, are Fe at (0.0000, 0.0000, 0.5000), Sn at (0.0000, 0.0000, 0.0000) and Se at (0.5000, 0.5000, 0.5000).

---

#b
Here is a relaxed structure of Fe3SnSe from Alexandria. Energies are from PBE.

It has space group Pm-3m (No. 221), with a = 4.4310 Å, b = 4.4310 Å, c = 4.4310 Å, α = 90.00°, β = 90.00° and γ = 90.00°. The distinct sites, in fractional coordinates, are Fe at (0.0000, 0.0000, 0.5000), Sn at (0.5000, 0.5000, 0.5000) and Se at (0.0000, 0.0000, 0.0000).

---

#b is favored, and the nearest alternative lies 870 meV/atom above it.